Record 1
NaTa2TcAs PBE-GGA optimized geometry; VASP energy = -28.45 eV/f.u.; calculated volume = 19.57 Å³/atom; SG = P4/mmm (123)
1.0
4.685 0.000 0.000
0.000 4.685 0.000
0.000 0.000 4.458
Na Ta Tc As
1 2 1 1
direct
0.000 0.000 0.000
0.000 0.500 0.000
0.500 0.000 0.000
0.000 0.000 0.500
0.500 0.500 0.500

***

Record 2
TmSnPdPt PBE-GGA optimized geometry; VASP energy = -23.44 eV/f.u.; calculated volume = 19.24 Å³/atom; SG = F-43m (216)
1.0
0.000 3.376 3.376
3.376 0.000 3.376
3.376 3.376 0.000
Tm Sn Pd Pt
1 1 1 1
direct
0.000 0.000 0.000
0.500 0.500 0.500
0.250 0.250 0.250
0.750 0.750 0.750

***

Record 3
EuHo2Pu PBE-GGA optimized geometry; polymorph energy (0 for the lowest one) = 0 meV/atom; calculated volume = 31.69 Å³/atom; SG = P4/mmm (123)
1.0
5.087 0.000 0.000
0.000 5.087 0.000
0.000 0.000 4.898
Eu Ho Pu
1 2 1
direct
0.000 0.000 0.000
0.000 0.500 0.500
0.500 0.000 0.500
0.500 0.500 0.000

***

Record 4
CsSbSCl2 PBE-GGA optimized geometry; raw formation energy = 0.486 eV per atom; polymorph energy (0 for the lowest one) = 1481 meV/atom; calculated volume = 40.43 Å³/atom; SG = P4/mmm (123)
1.0
6.060 0.000 0.000
0.000 6.060 0.000
0.000 0.000 5.504
Cs Sb S Cl
1 1 1 2
direct
0.000 0.000 0.000
0.500 0.500 0.500
0.000 0.000 0.500
0.000 0.500 0.000
0.500 0.000 0.000

***

Record 5
BiPdCCl2 PBE-GGA optimized geometry; raw formation energy = 1.176 eV per atom; calculated volume = 27.35 Å³/atom; SG = P4/mmm (123)
1.0
5.520 0.000 0.000
0.000 5.520 0.000
0.000 0.000 4.489
Bi Pd C Cl
1 1 1 2
direct
0.000 0.000 0.000
0.500 0.500 0.500
0.000 0.000 0.500
0.000 0.500 0.000
0.500 0.000 0.000

***

Record 6
CeDy3Ru4 PBE-GGA optimized geometry; VASP energy = -59.81 eV/f.u.; calculated volume = 19.81 Å³/atom; SG = Im-3m (229)
1.0
-3.409 3.409 3.409
3.409 -3.409 3.409
3.409 3.409 -3.409
Ce Dy Ru
1 3 4
direct
0.000 0.000 0.000
0.000 0.500 0.500
0.500 0.000 0.500
0.500 0.500 0.000
0.000 0.000 0.500
0.000 0.500 0.000
0.500 0.000 0.000
0.500 0.500 0.500

***

Record 7
ZnAg2Hg2 PBE-GGA optimized geometry; polymorph energy (0 for the lowest one) = 52 meV/atom; calculated volume = 22.13 Å³/atom; SG = I4/mmm (139)
1.0
-1.949 1.949 7.284
1.949 -1.949 7.284
1.949 1.949 -7.284
Zn Ag Hg
1 2 2
direct
0.000 0.000 0.000
0.250 0.750 0.500
0.750 0.250 0.500
0.402 0.402 0.000
0.598 0.598 0.000

***

Record 8
Sm3Zn2GePd9 PBE-GGA optimized geometry; VASP energy = -76.26 eV/f.u.; calculated volume = 21.04 Å³/atom; SG = P-3m1 (164)
1.0
5.683 0.000 0.000
-2.842 4.922 0.000
0.000 0.000 11.285
Sm Zn Ge Pd
3 2 1 9
direct
0.000 0.000 0.000
0.333 0.667 0.751
0.667 0.333 0.249
0.333 0.667 0.170
0.667 0.333 0.830
0.000 0.000 0.500
0.000 0.500 0.000
0.170 0.339 0.343
0.170 0.830 0.343
0.339 0.170 0.657
0.500 0.000 0.000
0.500 0.500 0.000
0.661 0.830 0.343
0.830 0.170 0.657
0.830 0.661 0.657

***

Record 9
BaMg2F PBE-GGA optimized geometry; raw formation energy = -1.032 eV per atom; polymorph energy (0 for the lowest one) = 0 meV/atom; calculated volume = 29.57 Å³/atom; SG = I4_1/amd (141)
1.0
-3.469 3.469 4.915
3.469 -3.469 4.915
3.469 3.469 -4.915
Ba Mg F
2 4 2
direct
0.375 0.625 0.750
0.625 0.375 0.250
0.000 0.000 0.000
0.000 0.000 0.500
0.000 0.500 0.000
0.500 0.000 0.500
0.125 0.875 0.250
0.875 0.125 0.750

***

Record 10
Nd6TlSb5 PBE-GGA optimized geometry; raw formation energy = -1.007 eV per atom; calculated volume = 32.75 Å³/atom; SG = C2/m (12)
1.0
3.928 -6.802 0.000
3.928 6.802 0.000
-2.632 0.000 7.355
Nd Tl Sb
6 1 5
direct
0.072 0.416 0.747
0.242 0.242 0.255
0.416 0.072 0.747
0.584 0.928 0.253
0.758 0.758 0.745
0.928 0.584 0.253
0.500 0.500 0.000
0.000 0.000 0.500
0.167 0.833 0.000
0.335 0.665 0.500
0.665 0.335 0.500
0.833 0.167 0.000

***

Record 11
CeSmAlSn PBE-GGA optimized geometry; VASP energy = -20.03 eV/f.u.; calculated volume = 26.96 Å³/atom; SG = F-43m (216)
1.0
0.000 3.778 3.778
3.778 0.000 3.778
3.778 3.778 0.000
Ce Sm Al Sn
1 1 1 1
direct
0.000 0.000 0.000
0.500 0.500 0.500
0.750 0.750 0.750
0.250 0.250 0.250

***

Record 12
MgSc2U PBE-GGA optimized geometry; VASP energy = -25.05 eV/f.u.; calculated volume = 22.74 Å³/atom; SG = P4/mmm (123)
1.0
3.072 0.000 0.000
0.000 3.072 0.000
0.000 0.000 9.642
Mg Sc U
1 2 1
direct
0.000 0.000 0.000
0.500 0.500 0.253
0.500 0.500 0.747
0.000 0.000 0.500

***

> Among the records above, which one has the lowest calculated volume?

TmSnPdPt

***

> What is the calculated volume in the first record?

19.57 Å³/atom